No. 1
Material: Tl10Hg3Cl16
Method: DFT, PBE
State: relaxed

## Properties
* crystal system: tetragonal
* SG: I4/m, No. 87
* calculated total energy: -79.672 eV for the cell shown

a b c (Å): 8.5405 8.5405 13.4861
angles (deg): 108.46 108.46 90.00
Closest atoms and distances in Å follow each position.
Sites, in units of the cell vectors:
Cl  0.6714  0.1492  0.0000  1 Hg 3.08, 4 Tl 3.14-3.39
Cl  0.1492  0.3286  0.0000  1 Hg 3.08, 4 Tl 3.14-3.39
Cl  0.8508  0.6714  0.0000  1 Hg 3.08, 4 Tl 3.14-3.39
Cl  0.3286  0.8508  0.0000  1 Hg 3.08, 4 Tl 3.14-3.39
Cl  0.0986  0.0986  0.1971  1 Hg 2.38
Cl  0.6040  0.6040  0.2080  5 Tl 3.06-3.21
Cl  0.5154  0.0247  0.3706  1 Hg 2.53
Cl  0.8553  0.3459  0.3706  1 Hg 2.53
Cl  0.3459  0.5154  0.3706  1 Hg 2.53
Cl  0.0247  0.8553  0.3706  1 Hg 2.53
Cl  0.9753  0.1447  0.6294  1 Hg 2.53
Cl  0.6541  0.4846  0.6294  1 Hg 2.53
Cl  0.1447  0.6541  0.6294  1 Hg 2.53
Cl  0.4846  0.9753  0.6294  1 Hg 2.53
Cl  0.3960  0.3960  0.7920  5 Tl 3.06-3.21
Cl  0.9014  0.9014  0.8029  1 Hg 2.38
Hg  0.0000  0.0000  0.0000  2 Cl 2.38
Hg  0.7500  0.2500  0.5000  4 Cl 2.53
Hg  0.2500  0.7500  0.5000  4 Cl 2.53
Tl  0.4544  0.2597  0.1781  4 Cl 3.06-3.39
Tl  0.9184  0.4544  0.1781  4 Cl 3.06-3.39
Tl  0.2597  0.7237  0.1781  4 Cl 3.06-3.39
Tl  0.7237  0.9184  0.1781  4 Cl 3.06-3.39
Tl  0.7370  0.7370  0.4739  5 Cl 3.21-3.47
Tl  0.2630  0.2630  0.5261  5 Cl 3.21-3.47
Tl  0.2763  0.0816  0.8219  4 Cl 3.06-3.39
Tl  0.7403  0.2763  0.8219  4 Cl 3.06-3.39
Tl  0.0816  0.5456  0.8219  4 Cl 3.06-3.39
Tl  0.5456  0.7403  0.8219  4 Cl 3.06-3.39

=====

No. 2
Material: DyAu3
Method: DFT, PBE
State: relaxed

## Properties
* total magnetization: 0.0 μB/f.u.
* crystal system: orthorhombic
* SG: Pmmn, No. 59
* formation energy from the elements: -0.7255 eV per atom

a b c (Å): 5.0313 6.1559 5.1416
angles (deg): 90.00 90.00 90.00
Closest atoms and distances in Å follow each position.
Sites, in units of the cell vectors:
Au  0.0000  0.5000  0.1663  8 Au 2.96-3.10, 4 Dy 3.01-3.08
Au  0.5000  0.2444  0.3383  8 Au 2.96-3.15, 4 Dy 2.99-3.08
Au  0.5000  0.7556  0.3383  8 Au 2.96-3.15, 4 Dy 2.99-3.08
Au  0.0000  0.2565  0.6619  8 Au 2.96-3.16, 4 Dy 2.99-3.07
Au  0.0000  0.7435  0.6619  8 Au 2.96-3.16, 4 Dy 2.99-3.07
Au  0.5000  0.0000  0.8330  8 Au 2.96-3.10, 4 Dy 3.02-3.08
Dy  0.0000  0.0000  0.1565  12 Au 2.99-3.08
Dy  0.5000  0.5000  0.8439  12 Au 2.99-3.08

=====

No. 3
Material: PrHoTeO2
Method: DFT, PBE
State: relaxed

## Properties
* total magnetization: 0.0 μB/f.u.
* crystal system: tetragonal
* SG: I4mm, No. 107
* calculated total energy: -36.925 eV for the cell shown

a b c (Å): 6.9450 6.9450 6.9450
angles (deg): 146.62 146.62 47.93
Closest atoms and distances in Å follow each position.
Sites, in units of the cell vectors:
Ho  0.6647  0.6647  0.0000  4 O 2.24
O  0.7444  0.2444  0.5000  2 Ho 2.24, 2 Pr 2.36
O  0.2444  0.7444  0.5000  2 Ho 2.24, 2 Pr 2.36
Pr  0.3438  0.3438  0.0000  4 O 2.36
Te  0.0026  0.0026  0.0000  4 Pr 3.47, 4 Ho 3.49, 8 O 3.66-3.84

=====

No. 4
Material: PuCuSi
Method: DFT, PBE
State: relaxed

## Properties
* total magnetization: 0.1 μB/f.u.
* crystal system: cubic
* SG: F-43m, No. 216
* calculated total energy: -20.074 eV for the cell shown

a b c (Å): 4.4486 4.4486 4.4486
angles (deg): 60.00 60.00 60.00
Closest atoms and distances in Å follow each position.
Sites, in units of the cell vectors:
Cu  0.0000  0.0000  0.0000  4 Pu 2.72
Pu  0.7500  0.7500  0.7500  4 Si 2.72, 4 Cu 2.72
Si  0.5000  0.5000  0.5000  4 Pu 2.72